VASP calculation (GGA+U) on crystalline TeWI2O at its relaxed geometry.

```
TeWI2O
1.0
5.265 0.000 0.000
0.000 5.265 0.000
0.000 0.000 4.586
Te W I O
1 1 2 1
Direct
0.000 0.000 0.000 Te
0.500 0.500 0.000 W
0.000 0.500 0.500 I
0.500 0.000 0.500 I
0.000 0.000 0.500 O
```

The density of states at the Fermi level comes out at 3.41 states/eV/f.u. For the magnetic moment, the calculation gives 4.07 Bohr magnetons per cell. Its calculated total energy is -0.103 Ha/atom.

VASP calculation (GGA+U) on crystalline BaTiMnO4 at its relaxed geometry.

```
BaTiMnO4
1.0
5.686 0.000 0.000
0.000 5.987 0.000
-1.920 0.000 6.789
Ba Ti Mn O
2 2 2 8
Direct
0.237 0.250 0.449 Ba
0.763 0.750 0.551 Ba
0.227 0.750 0.166 Ti
0.773 0.250 0.834 Ti
0.360 0.250 0.000 Mn
0.640 0.750 0.000 Mn
0.018 0.250 0.061 O
0.119 0.750 0.385 O
0.462 0.524 0.195 O
0.462 0.976 0.195 O
0.538 0.024 0.805 O
0.538 0.476 0.805 O
0.881 0.250 0.615 O
0.982 0.750 0.939 O
```

The density of states at the Fermi level comes out at 0.00 states/eV/f.u. For the magnetic moment, the calculation gives 10.00 Bohr magnetons per cell. Its calculated total energy is -0.288 Ha/atom.

density of states at the Fermi level of number 2 (BaTiMnO4)? 0.00 states/eV/f.u.